(1)
Crystalline AcMg2Al at its relaxed geometry. Source: Alexandria, functional PBE.

Cell and atoms, written as POSCAR:
```
AcMg2Al
1.0
2.465 -5.797 0.000
2.465 5.797 0.000
0.000 0.000 7.616
Ac Mg Al
2 4 2
direct
0.084 0.916 0.750
0.916 0.084 0.250
0.366 0.634 0.556
0.366 0.634 0.944
0.634 0.366 0.056
0.634 0.366 0.444
0.205 0.795 0.250
0.795 0.205 0.750
```

Computed properties:
Size of the total moment in μB/atom: 0.00
Crystal system: orthorhombic
Volume in Å³/atom: 27.206
Formation energy from the elements in eV per atom: -0.18
E above lowest polymorph in meV/atom: 0.0
SG: Cmcm

(2)
Crystalline Ac5MgAl2 at its relaxed geometry. Source: Alexandria, functional PBE.

Cell and atoms, written as POSCAR:
```
Ac5MgAl2
1.0
-4.181 4.181 8.436
4.181 -4.181 8.436
4.181 4.181 -8.436
Ac Mg Al
10 2 4
direct
0.000 0.000 0.000
0.029 0.529 0.845
0.184 0.029 0.500
0.316 0.816 0.845
0.471 0.316 0.500
0.500 0.500 0.000
0.529 0.684 0.500
0.684 0.184 0.155
0.816 0.971 0.500
0.971 0.471 0.155
0.250 0.250 0.000
0.750 0.750 0.000
0.113 0.387 0.500
0.387 0.887 0.275
0.613 0.113 0.725
0.887 0.613 0.500
```

Computed properties:
Size of the total moment in μB/atom: 0.00
Crystal system: tetragonal
Volume in Å³/atom: 36.873
Formation energy from the elements in eV per atom: -0.13
SG: I4/mcm

(3)
Crystalline Ac3Mg7Al2 at its relaxed geometry. Source: Alexandria, functional PBE.

Cell and atoms, written as POSCAR:
```
Ac3Mg7Al2
1.0
3.124 1.804 9.797
-3.124 1.804 9.797
0.000 -3.607 9.797
Ac Mg Al
3 7 2
direct
0.000 0.000 0.000
0.144 0.144 0.144
0.856 0.856 0.856
0.075 0.579 0.579
0.421 0.421 0.925
0.421 0.925 0.421
0.500 0.500 0.500
0.579 0.075 0.579
0.579 0.579 0.075
0.925 0.421 0.421
0.334 0.334 0.334
0.666 0.666 0.666
```

Computed properties:
Size of the total moment in μB/atom: 0.00
Crystal system: trigonal
Volume in Å³/atom: 27.597
Formation energy from the elements in eV per atom: -0.12
SG: R-3m

(4)
Crystalline Ac7Mg2Al2 at its relaxed geometry. Source: Alexandria, functional PBE.

Cell and atoms, written as POSCAR:
```
Ac7Mg2Al2
1.0
4.031 -6.003 0.000
4.031 6.003 0.000
0.000 0.000 8.922
Ac Mg Al
7 2 2
direct
0.000 0.000 0.000
0.000 0.500 0.301
0.000 0.500 0.699
0.500 0.000 0.301
0.500 0.000 0.699
0.500 0.500 0.279
0.500 0.500 0.721
0.302 0.698 0.000
0.698 0.302 0.000
0.163 0.163 0.500
0.837 0.837 0.500
```

Computed properties:
Size of the total moment in μB/atom: 0.00
Crystal system: orthorhombic
Volume in Å³/atom: 39.252
Formation energy from the elements in eV per atom: 0.18
SG: Cmmm

(5)
Crystalline Ac2Mg2Al3 at its relaxed geometry. Source: Alexandria, functional PBE.

Cell and atoms, written as POSCAR:
```
Ac2Mg2Al3
1.0
5.897 -2.431 0.000
5.897 2.431 0.000
-3.051 0.000 6.497
Ac Mg Al
2 2 3
direct
0.158 0.158 0.266
0.842 0.842 0.734
0.142 0.142 0.760
0.858 0.858 0.240
0.418 0.418 0.085
0.500 0.500 0.500
0.582 0.582 0.915
```

Computed properties:
Size of the total moment in μB/atom: 0.00
Crystal system: monoclinic
Volume in Å³/atom: 26.615
Formation energy from the elements in eV per atom: -0.23
SG: C2/m

(6)
Crystalline AcMgAl4 at its relaxed geometry. Source: Alexandria, functional PBE.

Cell and atoms, written as POSCAR:
```
AcMgAl4
1.0
0.000 4.051 4.051
4.051 0.000 4.051
4.051 4.051 0.000
Ac Mg Al
1 1 4
direct
0.000 0.000 0.000
0.750 0.750 0.750
0.375 0.375 0.375
0.375 0.375 0.876
0.375 0.876 0.375
0.876 0.375 0.375
```

Computed properties:
Size of the total moment in μB/atom: 0.00
Crystal system: cubic
Volume in Å³/atom: 22.153
Formation energy from the elements in eV per atom: -0.13
SG: F-43m

(7)
Crystalline AcMg4Al at its relaxed geometry. Source: Alexandria, functional PBE.

Cell and atoms, written as POSCAR:
```
AcMg4Al
1.0
8.450 0.000 0.000
0.000 4.637 0.000
0.000 0.000 8.056
Ac Mg Al
2 8 2
direct
0.250 0.000 0.126
0.750 0.000 0.874
0.000 0.000 0.500
0.060 0.500 0.805
0.250 0.500 0.459
0.440 0.500 0.805
0.500 0.000 0.500
0.560 0.500 0.195
0.750 0.500 0.541
0.940 0.500 0.195
0.250 0.000 0.721
0.750 0.000 0.279
```

Computed properties:
Size of the total moment in μB/atom: 0.00
Crystal system: orthorhombic
Volume in Å³/atom: 26.301
Formation energy from the elements in eV per atom: -0.08
E above lowest polymorph in meV/atom: 0.0
SG: Pmma

(8)
Crystalline AcMg2Al2 at its relaxed geometry. Source: Alexandria, functional PBE.

Cell and atoms, written as POSCAR:
```
AcMg2Al2
1.0
-2.317 2.317 11.830
2.317 -2.317 11.830
2.317 2.317 -11.830
Ac Mg Al
2 4 4
direct
0.129 0.129 0.000
0.871 0.871 0.000
0.000 0.500 0.500
0.315 0.315 0.000
0.500 0.000 0.500
0.685 0.685 0.000
0.250 0.750 0.500
0.431 0.431 0.000
0.569 0.569 0.000
0.750 0.250 0.500
```

Computed properties:
Size of the total moment in μB/atom: 0.00
Crystal system: tetragonal
Volume in Å³/atom: 25.412
Formation energy from the elements in eV per atom: -0.18
E above lowest polymorph in meV/atom: 72.7
SG: I4/mmm

(9)
Crystalline Ac6MgAl at its relaxed geometry. Source: Alexandria, functional PBE.

Cell and atoms, written as POSCAR:
```
Ac6MgAl
1.0
-2.836 2.836 9.675
2.836 -2.836 9.675
2.836 2.836 -9.675
Ac Mg Al
6 1 1
direct
0.104 0.604 0.500
0.250 0.250 0.000
0.396 0.896 0.500
0.604 0.104 0.500
0.750 0.750 0.000
0.896 0.396 0.500
0.000 0.000 0.000
0.500 0.500 0.000
```

Computed properties:
Size of the total moment in μB/atom: 0.00
Crystal system: tetragonal
Volume in Å³/atom: 38.912
Formation energy from the elements in eV per atom: -0.07
SG: I4/mmm

(10)
Crystalline Ac4MgAl at its relaxed geometry. Source: Alexandria, functional PBE.

Cell and atoms, written as POSCAR:
```
Ac4MgAl
1.0
5.546 0.000 0.000
0.000 5.546 0.000
0.000 0.000 8.063
Ac Mg Al
4 1 1
direct
0.000 0.500 0.236
0.000 0.500 0.764
0.500 0.000 0.236
0.500 0.000 0.764
0.000 0.000 0.500
0.500 0.500 0.000
```

Computed properties:
Size of the total moment in μB/atom: 0.00
Crystal system: tetragonal
Volume in Å³/atom: 41.337
Formation energy from the elements in eV per atom: 0.13
SG: P4/mmm

(11)
Crystalline Ac2MgAl6 at its relaxed geometry. Source: Alexandria, functional PBE.

Cell and atoms, written as POSCAR:
```
Ac2MgAl6
1.0
6.290 0.000 0.000
-3.145 5.448 0.000
0.000 0.000 6.216
Ac Mg Al
2 1 6
direct
0.333 0.667 0.352
0.667 0.333 0.648
0.000 0.000 0.500
0.182 0.363 0.848
0.182 0.818 0.848
0.363 0.182 0.152
0.637 0.818 0.848
0.818 0.182 0.152
0.818 0.637 0.152
```

Computed properties:
Size of the total moment in μB/atom: 0.00
Crystal system: trigonal
Volume in Å³/atom: 23.670
Formation energy from the elements in eV per atom: -0.29
SG: P-3m1

(12)
Crystalline AcMg2Al2 at its relaxed geometry. Source: Alexandria, functional PBE.

Cell and atoms, written as POSCAR:
```
AcMg2Al2
1.0
-2.302 2.302 6.021
2.302 -2.302 6.021
2.302 2.302 -6.021
Ac Mg Al
1 2 2
direct
0.000 0.000 0.000
0.250 0.750 0.500
0.750 0.250 0.500
0.392 0.392 0.000
0.608 0.608 0.000
```

Computed properties:
Size of the total moment in μB/atom: 0.00
Crystal system: tetragonal
Volume in Å³/atom: 25.526
Formation energy from the elements in eV per atom: -0.25
E above lowest polymorph in meV/atom: 0.0
SG: I4/mmm

(13)
Crystalline Ac2Mg6Al at its relaxed geometry. Source: Alexandria, functional PBE.

Cell and atoms, written as POSCAR:
```
Ac2Mg6Al
1.0
5.324 -3.325 0.000
5.324 3.325 0.000
-0.737 0.000 7.042
Ac Mg Al
2 6 1
direct
0.162 0.162 0.385
0.838 0.838 0.615
0.126 0.658 0.148
0.342 0.874 0.852
0.358 0.358 0.816
0.642 0.642 0.184
0.658 0.126 0.148
0.874 0.342 0.852
0.500 0.500 0.500
```

Computed properties:
Size of the total moment in μB/atom: 0.00
Crystal system: monoclinic
Volume in Å³/atom: 27.705
Formation energy from the elements in eV per atom: -0.07
SG: C2/m

(14)
Crystalline AcMg2Al at its relaxed geometry. Source: Alexandria, functional PBE.

Cell and atoms, written as POSCAR:
```
AcMg2Al
1.0
0.000 3.733 3.733
3.733 0.000 3.733
3.733 3.733 0.000
Ac Mg Al
1 2 1
direct
0.000 0.000 0.000
0.250 0.250 0.250
0.750 0.750 0.750
0.500 0.500 0.500
```

Computed properties:
Size of the total moment in μB/atom: 0.00
Crystal system: cubic
Volume in Å³/atom: 26.012
Formation energy from the elements in eV per atom: -0.02
E above lowest polymorph in meV/atom: 163.7
SG: Fm-3m

(15)
Crystalline Ac4Mg3Al at its relaxed geometry. Source: Alexandria, functional PBE.

Cell and atoms, written as POSCAR:
```
Ac4Mg3Al
1.0
4.055 0.000 0.000
0.000 4.055 0.000
0.000 0.000 16.467
Ac Mg Al
4 3 1
direct
0.000 0.000 0.114
0.000 0.000 0.372
0.000 0.000 0.628
0.000 0.000 0.886
0.500 0.500 0.246
0.500 0.500 0.500
0.500 0.500 0.754
0.500 0.500 0.000
```

Computed properties:
Size of the total moment in μB/atom: 0.00
Crystal system: tetragonal
Volume in Å³/atom: 33.854
Formation energy from the elements in eV per atom: -0.11
SG: P4/mmm

(16)
Crystalline AcMg2Al at its relaxed geometry. Source: Alexandria, functional PBE.

Cell and atoms, written as POSCAR:
```
AcMg2Al
1.0
3.610 0.000 0.000
0.000 3.610 0.000
0.000 0.000 8.328
Ac Mg Al
1 2 1
direct
0.000 0.000 0.000
0.500 0.500 0.307
0.500 0.500 0.693
0.000 0.000 0.500
```

Computed properties:
Size of the total moment in μB/atom: 0.00
Crystal system: tetragonal
Volume in Å³/atom: 27.139
Formation energy from the elements in eV per atom: 0.02
E above lowest polymorph in meV/atom: 198.5
SG: P4/mmm

(17)
Crystalline AcMg2Al at its relaxed geometry. Source: Alexandria, functional PBE.

Cell and atoms, written as POSCAR:
```
AcMg2Al
1.0
4.701 0.000 0.000
0.000 4.701 0.000
0.000 0.000 5.104
Ac Mg Al
1 2 1
direct
0.000 0.000 0.000
0.000 0.500 0.500
0.500 0.000 0.500
0.500 0.500 0.000
```

Computed properties:
Size of the total moment in μB/atom: 0.00
Crystal system: tetragonal
Volume in Å³/atom: 28.203
Formation energy from the elements in eV per atom: -0.05
E above lowest polymorph in meV/atom: 135.6
SG: P4/mmm

(18)
Crystalline Ac3Mg4Al2 at its relaxed geometry. Source: Alexandria, functional PBE.

Cell and atoms, written as POSCAR:
```
Ac3Mg4Al2
1.0
5.891 -2.601 0.000
5.891 2.601 0.000
-4.449 0.000 8.706
Ac Mg Al
3 4 2
direct
0.000 0.000 0.000
0.338 0.338 0.331
0.662 0.662 0.669
0.078 0.078 0.403
0.292 0.292 0.952
0.708 0.708 0.048
0.922 0.922 0.597
0.386 0.386 0.719
0.614 0.614 0.281
```

Computed properties:
Size of the total moment in μB/atom: 0.00
Crystal system: monoclinic
Volume in Å³/atom: 29.641
Formation energy from the elements in eV per atom: -0.14
SG: C2/m

(19)
Crystalline Ac2Mg12Al7 at its relaxed geometry. Source: Alexandria, functional PBE.

Cell and atoms, written as POSCAR:
```
Ac2Mg12Al7
1.0
11.409 0.000 0.000
-5.705 9.881 0.000
0.000 0.000 4.472
Ac Mg Al
2 12 7
direct
0.333 0.667 0.258
0.667 0.333 0.742
0.045 0.429 0.751
0.113 0.265 0.246
0.152 0.887 0.246
0.265 0.152 0.754
0.385 0.955 0.751
0.429 0.385 0.249
0.571 0.615 0.751
0.615 0.045 0.249
0.735 0.848 0.246
0.848 0.113 0.754
0.887 0.735 0.754
0.955 0.571 0.249
0.000 0.000 0.500
0.128 0.710 0.751
0.290 0.418 0.751
0.418 0.128 0.249
0.582 0.872 0.751
0.710 0.582 0.249
0.872 0.290 0.249
```

Computed properties:
Size of the total moment in μB/atom: 0.00
Crystal system: trigonal
Volume in Å³/atom: 24.006
Formation energy from the elements in eV per atom: -0.07
SG: P-3

(20)
Crystalline Ac4Mg5Al2 at its relaxed geometry. Source: Alexandria, functional PBE.

Cell and atoms, written as POSCAR:
```
Ac4Mg5Al2
1.0
8.384 0.000 0.000
0.000 3.960 0.000
-0.823 0.000 10.617
Ac Mg Al
4 5 2
direct
0.160 0.000 0.369
0.263 0.000 0.944
0.737 0.000 0.056
0.840 0.000 0.631
0.198 0.500 0.664
0.431 0.500 0.206
0.500 0.500 0.500
0.569 0.500 0.794
0.802 0.500 0.336
0.053 0.500 0.125
0.947 0.500 0.875
```

Computed properties:
Size of the total moment in μB/atom: 0.00
Crystal system: monoclinic
Volume in Å³/atom: 32.040
Formation energy from the elements in eV per atom: -0.07
SG: P2/m